No. 1
First-principles (PBE-GGA) data for an optimized crystal structure of Na2Ge2Pt, as listed in Alexandria.

It has space group Cmcm (No. 63), with a = 5.314 Å, b = 14.821 Å, c = 5.607 Å, α = 90.00°, β = 90.00° and γ = 90.00°. The inequivalent atoms are Na at (0.000, 0.070, 0.250), Na at (0.000, 0.305, 0.750), Ge at (0.247, 0.381, 0.250) and Pt at (0.000, 0.500, 0.000).

The calculation puts the volume at 442 Å³/cell. The value obtained for the total DFT energy (no corrections) is -19.2 eV/f.u. The calculation puts the energy above the lowest structure with this stoichiometry at 98.6 meV/atom. The theoretical density comes out at 5.8 g cm⁻³. The crystal system is orthorhombic. As for the formation energy: -0.26 eV/atom.

=====

No. 2
First-principles (PBE-GGA) data for an optimized crystal structure of BaAuO3, as listed in Alexandria.

It has space group Pm-3m (No. 221), with a = 4.164 Å, b = 4.164 Å, c = 4.164 Å, α = 90.00°, β = 90.00° and γ = 90.00°. The inequivalent atoms are Ba at (0.000, 0.000, 0.000), Au at (0.500, 0.500, 0.500) and O at (0.000, 0.500, 0.500).

The calculation puts the volume at 72 Å³/cell. The value obtained for the total DFT energy (no corrections) is -25.2 eV/f.u. The theoretical density comes out at 8.8 g cm⁻³. The value obtained for the formation energy without anion corrections is -1024 meV per atom. The crystal system is cubic.

=====

No. 3
First-principles (PBE-GGA) data for an optimized crystal structure of CrCd2Au, as listed in Alexandria.

It has space group P4/mmm (No. 123), with a = 3.091 Å, b = 3.091 Å, c = 7.976 Å, α = 90.00°, β = 90.00° and γ = 90.00°. The inequivalent atoms are Cr at (0.000, 0.000, 0.000), Cd at (0.500, 0.500, 0.246) and Au at (0.000, 0.000, 0.500).

The calculation puts the volume at 76 Å³/cell. The value obtained for the total DFT energy (no corrections) is -14.1 eV/f.u. The calculation puts the energy above the lowest structure with this stoichiometry at 61.5 meV/atom. The theoretical density comes out at 10.3 g cm⁻³. The crystal system is tetragonal. As for the formation energy: 0.16 eV/atom.